[1]
## RbCd2F (PBE)

Data for crystalline RbCd2F at its relaxed geometry.

Geometry as CIF:
```
data_RbCd2F
_chemical_formula_sum 'Rb4 Cd8 F4'
_symmetry_space_group_name_H-M 'I -4 2 d'
_symmetry_Int_Tables_number 122
_symmetry_space_group_name_Hall 'I -4 2bw'
_cell_length_a 9.517
_cell_length_b 9.517
_cell_length_c 5.455
_cell_angle_alpha 90.00
_cell_angle_beta 90.00
_cell_angle_gamma 90.00
loop_
_atom_site_label
_atom_site_fract_x
_atom_site_fract_y
_atom_site_fract_z
Rb1 0.000 0.000 0.000
Cd1 0.187 0.250 0.625
F1 0.000 0.000 0.500
```

Summary:
ΔE to the lowest computed polymorph: 0.00 eV/f.u.
raw formation energy: -0.868 eV/atom
magnetic moment: 0.000 μB per formula unit

***

[2]
## NiPIr (PBE)

Data for crystalline NiPIr at its relaxed geometry.

Geometry as CIF:
```
data_NiPIr
_chemical_formula_sum 'Ni4 P4 Ir4'
_symmetry_space_group_name_H-M 'F m m 2'
_symmetry_Int_Tables_number 42
_symmetry_space_group_name_Hall 'F 2 -2'
_cell_length_a 2.778
_cell_length_b 4.842
_cell_length_c 11.861
_cell_angle_alpha 90.00
_cell_angle_beta 90.00
_cell_angle_gamma 90.00
loop_
_atom_site_label
_atom_site_fract_x
_atom_site_fract_y
_atom_site_fract_z
Ni1 0.000 0.000 0.000
P1 0.000 0.000 0.355
Ir1 0.000 0.000 0.692
```

Summary:
formation energy: 0.155 eV/atom
magnetic moment: 0.000 μB per formula unit

***

[3]
## Sr3InO (PBE)

Data for crystalline Sr3InO at its relaxed geometry.

Geometry as CIF:
```
data_Sr3InO
_chemical_formula_sum 'Sr3 In1 O1'
_symmetry_space_group_name_H-M 'P 4 m m'
_symmetry_Int_Tables_number 99
_cell_length_a 4.908
_cell_length_b 4.908
_cell_length_c 9.656
_cell_angle_alpha 90.00
_cell_angle_beta 90.00
_cell_angle_gamma 90.00
loop_
_symmetry_equiv_pos_as_xyz
'x,y,z'
'-y,x,z'
'-x,-y,z'
'y,-x,z'
'-x,y,z'
'y,x,z'
'x,-y,z'
'-y,-x,z'
loop_
_atom_site_label
_atom_site_fract_x
_atom_site_fract_y
_atom_site_fract_z
Sr1 0.000 0.000 0.000
Sr2 0.000 0.500 0.609
In1 0.000 0.000 0.341
O1 0.500 0.500 0.628
```

Summary:
raw formation energy: -0.695 eV/atom
magnetic moment: 0.000 μB per formula unit

***

[4]
## Zr2TiGa2 (PBE)

Data for crystalline Zr2TiGa2 at its relaxed geometry.

Geometry as CIF:
```
data_Zr2TiGa2
_chemical_formula_sum 'Zr4 Ti2 Ga4'
_symmetry_space_group_name_H-M 'P 4/m b m'
_symmetry_Int_Tables_number 127
_symmetry_space_group_name_Hall '-P 4 2ab'
_cell_length_a 8.182
_cell_length_b 8.182
_cell_length_c 2.963
_cell_angle_alpha 90.00
_cell_angle_beta 90.00
_cell_angle_gamma 90.00
loop_
_atom_site_label
_atom_site_fract_x
_atom_site_fract_y
_atom_site_fract_z
Zr1 0.128 0.372 0.000
Ti1 0.000 0.000 0.000
Ga1 0.171 0.671 0.500
```

Summary:
ΔE to the lowest computed polymorph: 2.12 eV/f.u.
formation energy: -0.080 eV/atom
magnetic moment: 0.000 μB per formula unit

***

[5]
## Ag2PO2F4 (PBE)

Data for crystalline Ag2PO2F4 at its relaxed geometry.

Geometry as CIF:
```
data_Ag2PO2F4
_chemical_formula_sum 'Ag4 P2 O4 F8'
_symmetry_space_group_name_H-M 'C 1 2/m 1'
_symmetry_Int_Tables_number 12
_cell_length_a 10.259
_cell_length_b 4.892
_cell_length_c 4.893
_cell_angle_alpha 90.00
_cell_angle_beta 118.16
_cell_angle_gamma 90.00
loop_
_symmetry_equiv_pos_as_xyz
'x,y,z'
'-x,-y,-z'
'-x,y,-z'
'x,-y,z'
'x+1/2,y+1/2,z'
'-x+1/2,-y+1/2,-z'
'-x+1/2,y+1/2,-z'
'x+1/2,-y+1/2,z'
loop_
_atom_site_label
_atom_site_fract_x
_atom_site_fract_y
_atom_site_fract_z
Ag1 0.250 0.000 0.248
P1 0.000 0.000 0.500
O1 0.188 0.000 0.694
F1 0.003 0.240 0.264
```

Summary:
raw formation energy: -1.481 eV/atom
magnetic moment: 0.000 μB per formula unit

***

[6]
## NaAg2AsSe4 (PBE)

Data for crystalline NaAg2AsSe4 at its relaxed geometry.

Geometry as CIF:
```
data_NaAg2AsSe4
_chemical_formula_sum 'Na4 Ag8 As4 Se16'
_symmetry_space_group_name_H-M 'F m m 2'
_symmetry_Int_Tables_number 42
_symmetry_space_group_name_Hall 'F 2 -2'
_cell_length_a 9.221
_cell_length_b 9.230
_cell_length_c 10.556
_cell_angle_alpha 90.00
_cell_angle_beta 90.00
_cell_angle_gamma 90.00
loop_
_atom_site_label
_atom_site_fract_x
_atom_site_fract_y
_atom_site_fract_z
Na1 0.000 0.000 0.000
Ag1 0.250 0.250 0.249
As1 0.000 0.000 0.499
Se1 0.000 0.212 0.629
Se2 0.212 0.000 0.370
```

Summary:
raw formation energy: -0.285 eV/atom
magnetic moment: 0.000 μB per formula unit

***

[7]
## Li2CrCl (PBE)

Data for crystalline Li2CrCl at its relaxed geometry.

Geometry as CIF:
```
data_Li2CrCl
_chemical_formula_sum 'Li4 Cr2 Cl2'
_symmetry_space_group_name_H-M 'C m m m'
_symmetry_Int_Tables_number 65
_symmetry_space_group_name_Hall '-C 2 2'
_cell_length_a 3.477
_cell_length_b 5.364
_cell_length_c 8.148
_cell_angle_alpha 90.00
_cell_angle_beta 90.00
_cell_angle_gamma 90.00
loop_
_atom_site_label
_atom_site_fract_x
_atom_site_fract_y
_atom_site_fract_z
Li1 0.000 0.000 0.198
Cr1 0.000 0.500 0.500
Cl1 0.000 0.500 0.000
```

Summary:
ΔE to the lowest computed polymorph: 0.19 eV/f.u.
raw formation energy: -0.293 eV/atom
magnetic moment: 4.579 μB per formula unit

***

[8]
## PmCdAg (PBE)

Data for crystalline PmCdAg at its relaxed geometry.

Geometry as CIF:
```
data_PmCdAg
_chemical_formula_sum 'Pm2 Cd2 Ag2'
_symmetry_space_group_name_H-M 'P m m a'
_symmetry_Int_Tables_number 51
_cell_length_a 4.933
_cell_length_b 3.422
_cell_length_c 8.642
_cell_angle_alpha 90.00
_cell_angle_beta 90.00
_cell_angle_gamma 90.00
loop_
_symmetry_equiv_pos_as_xyz
'x,y,z'
'-x,-y,-z'
'-x+1/2,-y,z'
'x+1/2,y,-z'
'x+1/2,-y,-z'
'-x+1/2,y,z'
'-x,y,-z'
'x,-y,z'
loop_
_atom_site_label
_atom_site_fract_x
_atom_site_fract_y
_atom_site_fract_z
Pm1 0.250 0.000 0.232
Cd1 0.250 0.500 0.583
Ag1 0.250 0.500 0.915
```

Summary:
ΔE to the lowest computed polymorph: 0.00 eV/f.u.
formation energy: -0.312 eV/atom
magnetic moment: 0.000 μB per formula unit

***

[9]
## Hf2OsCl (PBE)

Data for crystalline Hf2OsCl at its relaxed geometry.

Geometry as CIF:
```
data_Hf2OsCl
_chemical_formula_sum 'Hf8 Os4 Cl4'
_symmetry_space_group_name_H-M 'F m -3 m'
_symmetry_Int_Tables_number 225
_symmetry_space_group_name_Hall '-F 4 2 3'
_cell_length_a 6.645
_cell_length_b 6.645
_cell_length_c 6.645
_cell_angle_alpha 90.00
_cell_angle_beta 90.00
_cell_angle_gamma 90.00
loop_
_atom_site_label
_atom_site_fract_x
_atom_site_fract_y
_atom_site_fract_z
Hf1 0.250 0.250 0.250
Os1 0.000 0.000 0.000
Cl1 0.000 0.000 0.500
```

Summary:
ΔE to the lowest computed polymorph: 0.00 eV/f.u.
raw formation energy: -0.090 eV/atom
magnetic moment: 0.000 μB per formula unit

***

[10]
## NbHgO2F (PBE)

Data for crystalline NbHgO2F at its relaxed geometry.

Geometry as CIF:
```
data_NbHgO2F
_chemical_formula_sum 'Nb1 Hg1 O2 F1'
_symmetry_space_group_name_H-M 'P 4/m m m'
_symmetry_Int_Tables_number 123
_symmetry_space_group_name_Hall '-P 4 2'
_cell_length_a 4.028
_cell_length_b 4.028
_cell_length_c 4.401
_cell_angle_alpha 90.00
_cell_angle_beta 90.00
_cell_angle_gamma 90.00
loop_
_atom_site_label
_atom_site_fract_x
_atom_site_fract_y
_atom_site_fract_z
Nb1 0.000 0.000 0.000
Hg1 0.500 0.500 0.500
O1 0.000 0.500 0.000
F1 0.000 0.000 0.500
```

Summary:
raw formation energy: -1.737 eV/atom
magnetic moment: 0.000 μB per formula unit

***

[11]
## CePdRu (PBE)

Data for crystalline CePdRu at its relaxed geometry.

Geometry as CIF:
```
data_CePdRu
_chemical_formula_sum 'Ce2 Pd2 Ru2'
_symmetry_space_group_name_H-M 'P 1 21/m 1'
_symmetry_Int_Tables_number 11
_cell_length_a 4.810
_cell_length_b 4.627
_cell_length_c 5.500
_cell_angle_alpha 90.00
_cell_angle_beta 98.88
_cell_angle_gamma 90.00
loop_
_symmetry_equiv_pos_as_xyz
'x,y,z'
'-x,-y,-z'
'-x,y+1/2,-z'
'x,-y+1/2,z'
loop_
_atom_site_label
_atom_site_fract_x
_atom_site_fract_y
_atom_site_fract_z
Ce1 0.056 0.250 0.268
Pd1 0.485 0.250 0.870
Ru1 0.373 0.750 0.598
```

Summary:
ΔE to the lowest computed polymorph: 0.00 eV/f.u.
formation energy: -0.448 eV/atom
magnetic moment: 0.000 μB per formula unit

***

[12]
## Ho2ZnBr (PBE)

Data for crystalline Ho2ZnBr at its relaxed geometry.

Geometry as CIF:
```
data_Ho2ZnBr
_chemical_formula_sum 'Ho6 Zn3 Br3'
_symmetry_space_group_name_H-M 'R -3 m'
_symmetry_Int_Tables_number 166
_symmetry_space_group_name_Hall '-R 3 2"'
_cell_length_a 3.9777
_cell_length_b 3.9777
_cell_length_c 22.3072
_cell_angle_alpha 90.00
_cell_angle_beta 90.00
_cell_angle_gamma 120.00
loop_
_atom_site_label
_atom_site_fract_x
_atom_site_fract_y
_atom_site_fract_z
Ho1 0.0000 0.0000 0.2416
Zn1 0.0000 0.0000 0.5000
Br1 0.0000 0.0000 0.0000
```

Summary:
raw formation energy: -0.621 eV/atom
magnetic moment: 0.000 μB per formula unit